# 1
Entry from Alexandria: a relaxed structure of BeSiPb (PBE).

For the total magnetization, the calculation gives 0.00 μB per formula unit. As for the energy above the most stable polymorph in this dataset: 68.0 kJ/mol of atoms. The calculation puts the uncorrected formation energy at 3.1 eV/f.u.

a b c (Å): 6.514 6.514 6.514
angles (deg): 90.00 90.00 90.00
Space group F-43m (No. 216)
Symmetry-distinct sites (fractional):
Be  0.000  0.000  0.000
Si  0.000  0.000  0.500
Pb  0.250  0.250  0.250

# 2
Entry from Alexandria: a relaxed structure of YTaSb2 (PBE).

For the total magnetization, the calculation gives 0.02 μB per formula unit. As for the energy above the most stable polymorph in this dataset: 2.4 kJ/mol of atoms. The calculation puts the uncorrected formation energy at -1.2 eV/f.u.

a b c (Å): 3.509 3.489 7.540
angles (deg): 90.00 90.06 90.00
Space group P2/m (No. 10)
Symmetry-distinct sites (fractional):
Y  0.000  0.000  0.000
Ta  0.000  0.000  0.500
Sb  0.500  0.500  0.283

# 3
Entry from Alexandria: a relaxed structure of NiMoBr2 (PBE).

For the total magnetization, the calculation gives 2.15 μB per formula unit. As for the energy above the most stable polymorph in this dataset: 15.8 kJ/mol of atoms. The calculation puts the uncorrected formation energy at 0.8 eV/f.u.

a b c (Å): 14.793 3.323 4.082
angles (deg): 90.00 93.97 90.00
Space group C2/m (No. 12)
Symmetry-distinct sites (fractional):
Ni  0.000  0.000  0.000
Mo  0.000  0.500  0.500
Br  0.132  0.000  0.699

# 4
Entry from Alexandria: a relaxed structure of BaLi2Ru2O7 (PBE).

For the total magnetization, the calculation gives 3.00 μB per formula unit. The calculation puts the uncorrected formation energy at -17.9 eV/f.u.

a b c (Å): 3.936 3.939 18.028
angles (deg): 90.00 90.00 90.00
Space group Immm (No. 71)
Symmetry-distinct sites (fractional):
Ba  0.000  0.000  0.000
Li  0.000  0.500  0.250
Ru  0.000  0.000  0.382
O  0.000  0.000  0.278
O  0.000  0.000  0.500
O  0.000  0.500  0.113
O  0.000  0.500  0.387